! LaPmSm2N4 | Alexandria via LeMat-Bulk | GGA-PBE | relaxed; values from VASP
&SYSTEM
  ibrav = 0, nat = 8, ntyp = 4
/
ATOMIC_SPECIES
La 138.91 La.upf
Pm 145.00 Pm.upf
Sm 150.36 Sm.upf
N 14.01 N.upf
ATOMIC_POSITIONS angstrom
La 0.000 0.000 0.000
Pm 3.149 1.818 0.000
Sm -1.047 1.818 2.971
Sm 2.102 0.000 2.971
N 0.021 0.000 4.436
N 1.069 1.818 1.522
N 3.135 1.818 4.420
N 4.183 0.000 1.506
CELL_PARAMETERS angstrom
6.298 0.000 0.000
0.000 3.635 0.000
-2.094 0.000 5.942
! N(E_F)	0.12	states/eV/atom
! space-group type	P2/m (10)
! electronic total energy	-7.971	eV per atom
! volume	136.0	Å³ per cell
! ΔE_f (raw)	-1419	meV per atom